Entry from the Alexandria database: an optimized crystal structure of Ca2BBr2 (PBE-GGA).

Results
Formation energy (no corrections) (meV/atom): -182
Offset from the most stable computed form (meV per atom): 40
Electronic total energy (eV for the cell shown): -29.88

```
data_Ca2BBr2
_chemical_formula_sum 'Ca4 B2 Br4'
_cell_length_a 8.324
_cell_length_b 8.324
_cell_length_c 3.642
_cell_angle_alpha 90.00
_cell_angle_beta 90.00
_cell_angle_gamma 90.00
_space_group_name_H-M_alt 'P 1'
_space_group_IT_number 1
loop_
_space_group_symop_operation_xyz
'x,y,z'
loop_
_atom_site_label
_atom_site_type_symbol
_atom_site_fract_x
_atom_site_fract_y
_atom_site_fract_z
Ca1 Ca 0.178 0.322 0.000
Ca2 Ca 0.322 0.822 0.000
Ca3 Ca 0.678 0.178 0.000
Ca4 Ca 0.822 0.678 0.000
B1 B 0.000 0.000 0.500
B2 B 0.500 0.500 0.500
Br1 Br 0.132 0.632 0.500
Br2 Br 0.368 0.132 0.500
Br3 Br 0.632 0.868 0.500
Br4 Br 0.868 0.368 0.500
```

Entry from the Alexandria database: an optimized crystal structure of RuW2Br (PBE-GGA).

Results
Formation energy (no corrections) (meV/atom): 879
Offset from the most stable computed form (meV per atom): 389
Electronic total energy (eV for the cell shown): -33.34

```
data_RuW2Br
_chemical_formula_sum 'Ru1 W2 Br1'
_cell_length_a 2.849
_cell_length_b 2.849
_cell_length_c 9.287
_cell_angle_alpha 90.00
_cell_angle_beta 90.00
_cell_angle_gamma 116.55
_space_group_name_H-M_alt 'P 1'
_space_group_IT_number 1
loop_
_space_group_symop_operation_xyz
'x,y,z'
loop_
_atom_site_label
_atom_site_type_symbol
_atom_site_fract_x
_atom_site_fract_y
_atom_site_fract_z
Ru1 Ru 0.000 0.000 0.000
W1 W 0.500 0.500 0.234
W2 W 0.500 0.500 0.766
Br1 Br 0.000 0.000 0.500
```

Entry from the Alexandria database: an optimized crystal structure of CeZnI (PBE-GGA).

Results
Formation energy (no corrections) (meV/atom): -741
Electronic total energy (eV for the cell shown): -21.96

```
data_CeZnI
_chemical_formula_sum 'Ce2 Zn2 I2'
_cell_length_a 4.354
_cell_length_b 4.354
_cell_length_c 12.153
_cell_angle_alpha 100.48
_cell_angle_beta 100.48
_cell_angle_gamma 59.99
_space_group_name_H-M_alt 'P 1'
_space_group_IT_number 1
loop_
_space_group_symop_operation_xyz
'x,y,z'
loop_
_atom_site_label
_atom_site_type_symbol
_atom_site_fract_x
_atom_site_fract_y
_atom_site_fract_z
Ce1 Ce 0.056 0.056 0.165
Ce2 Ce 0.944 0.944 0.835
Zn1 Zn 0.335 0.335 0.004
Zn2 Zn 0.665 0.665 0.996
I1 I 0.218 0.218 0.660
I2 I 0.782 0.782 0.340
```

Entry from the Alexandria database: an optimized crystal structure of Mg2Sc2Ga (PBE-GGA).

Results
Offset from the most stable computed form (meV per atom): 115
Energy relative to the elements (eV/f.u.): 0.34
Electronic total energy (eV for the cell shown): -37.07

```
data_Mg2Sc2Ga
_chemical_formula_sum 'Mg4 Sc4 Ga2'
_cell_length_a 7.156
_cell_length_b 7.156
_cell_length_c 4.756
_cell_angle_alpha 90.00
_cell_angle_beta 90.00
_cell_angle_gamma 90.00
_space_group_name_H-M_alt 'P 1'
_space_group_IT_number 1
loop_
_space_group_symop_operation_xyz
'x,y,z'
loop_
_atom_site_label
_atom_site_type_symbol
_atom_site_fract_x
_atom_site_fract_y
_atom_site_fract_z
Mg1 Mg 0.156 0.344 0.000
Mg2 Mg 0.344 0.844 0.000
Mg3 Mg 0.656 0.156 0.000
Mg4 Mg 0.844 0.656 0.000
Sc1 Sc 0.151 0.651 0.500
Sc2 Sc 0.349 0.151 0.500
Sc3 Sc 0.651 0.849 0.500
Sc4 Sc 0.849 0.349 0.500
Ga1 Ga 0.000 0.000 0.500
Ga2 Ga 0.500 0.500 0.500
```

Entry from the Alexandria database: an optimized crystal structure of HoBeGa2Ni4 (PBE-GGA).

Results
Energy relative to the elements (eV/f.u.): -3.59
Electronic total energy (eV for the cell shown): -41.07

```
data_HoBeGa2Ni4
_chemical_formula_sum 'Ho1 Be1 Ga2 Ni4'
_cell_length_a 8.248
_cell_length_b 8.248
_cell_length_c 8.248
_cell_angle_alpha 28.04
_cell_angle_beta 28.04
_cell_angle_gamma 28.04
_space_group_name_H-M_alt 'P 1'
_space_group_IT_number 1
loop_
_space_group_symop_operation_xyz
'x,y,z'
loop_
_atom_site_label
_atom_site_type_symbol
_atom_site_fract_x
_atom_site_fract_y
_atom_site_fract_z
Ho1 Ho 0.000 0.000 0.000
Be1 Be 0.500 0.500 0.500
Ga1 Ga 0.240 0.240 0.240
Ga2 Ga 0.760 0.760 0.760
Ni1 Ni 0.135 0.135 0.135
Ni2 Ni 0.409 0.409 0.409
Ni3 Ni 0.591 0.591 0.591
Ni4 Ni 0.865 0.865 0.865
```

Entry from the Alexandria database: an optimized crystal structure of Nd4CuPBr2 (PBE-GGA).

Results
Formation energy (no corrections) (meV/atom): -1063
Electronic total energy (eV for the cell shown): -40.43

```
data_Nd4CuPBr2
_chemical_formula_sum 'Nd4 Cu1 P1 Br2'
_cell_length_a 7.356
_cell_length_b 4.093
_cell_length_c 7.686
_cell_angle_alpha 90.00
_cell_angle_beta 107.36
_cell_angle_gamma 90.00
_space_group_name_H-M_alt 'P 1'
_space_group_IT_number 1
loop_
_space_group_symop_operation_xyz
'x,y,z'
loop_
_atom_site_label
_atom_site_type_symbol
_atom_site_fract_x
_atom_site_fract_y
_atom_site_fract_z
Nd1 Nd 0.229 0.000 0.211
Nd2 Nd 0.269 0.500 0.791
Nd3 Nd 0.731 0.500 0.209
Nd4 Nd 0.771 0.000 0.789
Cu1 Cu 0.500 0.000 0.000
P1 P 0.000 0.500 0.000
Br1 Br 0.000 0.000 0.500
Br2 Br 0.500 0.500 0.500
```

Entry from the Alexandria database: an optimized crystal structure of Mg2Pd3 (PBE-GGA).

Results
Offset from the most stable computed form (meV per atom): 187
Energy relative to the elements (eV/f.u.): -2.09
Electronic total energy (eV for the cell shown): -41.71

```
data_Mg2Pd3
_chemical_formula_sum 'Mg4 Pd6'
_cell_length_a 6.811
_cell_length_b 6.811
_cell_length_c 6.811
_cell_angle_alpha 125.09
_cell_angle_beta 73.35
_cell_angle_gamma 135.37
_space_group_name_H-M_alt 'P 1'
_space_group_IT_number 1
loop_
_space_group_symop_operation_xyz
'x,y,z'
loop_
_atom_site_label
_atom_site_type_symbol
_atom_site_fract_x
_atom_site_fract_y
_atom_site_fract_z
Mg1 Mg 0.170 0.237 0.407
Mg2 Mg 0.330 0.737 0.067
Mg3 Mg 0.670 0.263 0.933
Mg4 Mg 0.830 0.763 0.593
Pd1 Pd 0.092 0.646 0.737
Pd2 Pd 0.250 0.250 0.000
Pd3 Pd 0.408 0.146 0.554
Pd4 Pd 0.592 0.854 0.446
Pd5 Pd 0.750 0.750 0.000
Pd6 Pd 0.908 0.354 0.263
```

Entry from the Alexandria database: an optimized crystal structure of DySnP2Rh5 (PBE-GGA).

Results
Energy relative to the elements (eV/f.u.): -7.84
Electronic total energy (eV for the cell shown): -64.03

```
data_DySnP2Rh5
_chemical_formula_sum 'Dy1 Sn1 P2 Rh5'
_cell_length_a 4.046
_cell_length_b 4.046
_cell_length_c 8.647
_cell_angle_alpha 90.00
_cell_angle_beta 90.00
_cell_angle_gamma 90.00
_space_group_name_H-M_alt 'P 1'
_space_group_IT_number 1
loop_
_space_group_symop_operation_xyz
'x,y,z'
loop_
_atom_site_label
_atom_site_type_symbol
_atom_site_fract_x
_atom_site_fract_y
_atom_site_fract_z
Dy1 Dy 0.000 0.000 0.000
Sn1 Sn 0.000 0.000 0.500
P1 P 0.500 0.500 0.136
P2 P 0.500 0.500 0.864
Rh1 Rh 0.000 0.500 0.264
Rh2 Rh 0.000 0.500 0.736
Rh3 Rh 0.500 0.000 0.264
Rh4 Rh 0.500 0.000 0.736
Rh5 Rh 0.500 0.500 0.500
```

Entry from the Alexandria database: an optimized crystal structure of Sc2MoOs (PBE-GGA).

Results
Energy relative to the elements (eV/f.u.): 1.96
Electronic total energy (eV for the cell shown): -65.53

```
data_Sc2MoOs
_chemical_formula_sum 'Sc4 Mo2 Os2'
_cell_length_a 5.916
_cell_length_b 5.916
_cell_length_c 5.916
_cell_angle_alpha 102.41
_cell_angle_beta 102.41
_cell_angle_gamma 124.77
_space_group_name_H-M_alt 'P 1'
_space_group_IT_number 1
loop_
_space_group_symop_operation_xyz
'x,y,z'
loop_
_atom_site_label
_atom_site_type_symbol
_atom_site_fract_x
_atom_site_fract_y
_atom_site_fract_z
Sc1 Sc 0.100 0.625 0.975
Sc2 Sc 0.375 0.350 0.475
Sc3 Sc 0.650 0.125 0.025
Sc4 Sc 0.875 0.900 0.525
Mo1 Mo 0.250 0.750 0.500
Mo2 Mo 0.500 0.500 0.000
Os1 Os 0.000 0.000 0.000
Os2 Os 0.750 0.250 0.500
```

Entry from the Alexandria database: an optimized crystal structure of BaPuIn4 (PBE-GGA).

Results
Energy relative to the elements (eV/f.u.): -1.28
Electronic total energy (eV for the cell shown): -28.49

```
data_BaPuIn4
_chemical_formula_sum 'Ba1 Pu1 In4'
_cell_length_a 6.261
_cell_length_b 6.261
_cell_length_c 6.261
_cell_angle_alpha 60.00
_cell_angle_beta 60.00
_cell_angle_gamma 60.00
_space_group_name_H-M_alt 'P 1'
_space_group_IT_number 1
loop_
_space_group_symop_operation_xyz
'x,y,z'
loop_
_atom_site_label
_atom_site_type_symbol
_atom_site_fract_x
_atom_site_fract_y
_atom_site_fract_z
Ba1 Ba 0.000 0.000 0.000
Pu1 Pu 0.250 0.250 0.250
In1 In 0.127 0.624 0.624
In2 In 0.624 0.127 0.624
In3 In 0.624 0.624 0.127
In4 In 0.624 0.624 0.624
```

Entry from the Alexandria database: an optimized crystal structure of Ac8CuPd5 (PBE-GGA).

Results
Energy relative to the elements (eV/f.u.): -8.05
Electronic total energy (eV for the cell shown): -70.98

```
data_Ac8CuPd5
_chemical_formula_sum 'Ac8 Cu1 Pd5'
_cell_length_a 8.290
_cell_length_b 8.290
_cell_length_c 8.290
_cell_angle_alpha 109.44
_cell_angle_beta 109.44
_cell_angle_gamma 109.54
_space_group_name_H-M_alt 'P 1'
_space_group_IT_number 1
loop_
_space_group_symop_operation_xyz
'x,y,z'
loop_
_atom_site_label
_atom_site_type_symbol
_atom_site_fract_x
_atom_site_fract_y
_atom_site_fract_z
Ac1 Ac 0.016 0.878 0.254
Ac2 Ac 0.122 0.375 0.138
Ac3 Ac 0.122 0.375 0.637
Ac4 Ac 0.237 0.984 0.862
Ac5 Ac 0.515 0.878 0.253
Ac6 Ac 0.625 0.262 0.747
Ac7 Ac 0.625 0.763 0.746
Ac8 Ac 0.738 0.485 0.363
Cu1 Cu 0.500 0.500 0.000
Pd1 Pd 0.250 0.750 0.500
Pd2 Pd 0.375 0.251 0.374
Pd3 Pd 0.749 0.123 0.124
Pd4 Pd 0.877 0.002 0.626
Pd5 Pd 0.998 0.625 0.876
```

Entry from the Alexandria database: an optimized crystal structure of HoPuZnIr (PBE-GGA).

Results
Energy relative to the elements (eV/f.u.): -1.72
Electronic total energy (eV for the cell shown): -30.76

```
data_HoPuZnIr
_chemical_formula_sum 'Ho1 Pu1 Zn1 Ir1'
_cell_length_a 4.917
_cell_length_b 4.917
_cell_length_c 4.917
_cell_angle_alpha 60.00
_cell_angle_beta 60.00
_cell_angle_gamma 60.00
_space_group_name_H-M_alt 'P 1'
_space_group_IT_number 1
loop_
_space_group_symop_operation_xyz
'x,y,z'
loop_
_atom_site_label
_atom_site_type_symbol
_atom_site_fract_x
_atom_site_fract_y
_atom_site_fract_z
Ho1 Ho 0.000 0.000 0.000
Pu1 Pu 0.500 0.500 0.500
Zn1 Zn 0.750 0.750 0.750
Ir1 Ir 0.250 0.250 0.250
```

What did the third record say?
Entry from the Alexandria database: an optimized crystal structure of CeZnI (PBE-GGA).

Results
Formation energy (no corrections) (meV/atom): -741
Electronic total energy (eV for the cell shown): -21.96

```
data_CeZnI
_chemical_formula_sum 'Ce2 Zn2 I2'
_cell_length_a 4.354
_cell_length_b 4.354
_cell_length_c 12.153
_cell_angle_alpha 100.48
_cell_angle_beta 100.48
_cell_angle_gamma 59.99
_space_group_name_H-M_alt 'P 1'
_space_group_IT_number 1
loop_
_space_group_symop_operation_xyz
'x,y,z'
loop_
_atom_site_label
_atom_site_type_symbol
_atom_site_fract_x
_atom_site_fract_y
_atom_site_fract_z
Ce1 Ce 0.056 0.056 0.165
Ce2 Ce 0.944 0.944 0.835
Zn1 Zn 0.335 0.335 0.004
Zn2 Zn 0.665 0.665 0.996
I1 I 0.218 0.218 0.660
I2 I 0.782 0.782 0.340
```

> Among the records above, which one has the highest electronic total energy?

CeZnI